Here is crystalline Er12GaCu6 at its relaxed geometry from the Alexandria database. Energies are from GGA-PBE.

Structure (POSCAR):
```
Er12GaCu6
1.0
-4.852 4.852 4.852
4.852 -4.852 4.852
4.852 4.852 -4.852
Er Ga Cu
12 1 6
direct
0.106 0.294 0.812 Er
0.188 0.482 0.294 Er
0.188 0.894 0.706 Er
0.294 0.188 0.482 Er
0.294 0.812 0.106 Er
0.482 0.294 0.188 Er
0.518 0.706 0.812 Er
0.706 0.188 0.894 Er
0.706 0.812 0.518 Er
0.812 0.106 0.294 Er
0.812 0.518 0.706 Er
0.894 0.706 0.188 Er
0.000 0.000 0.000 Ga
0.126 0.500 0.626 Cu
0.374 0.874 0.500 Cu
0.500 0.374 0.874 Cu
0.500 0.626 0.126 Cu
0.626 0.126 0.500 Cu
0.874 0.500 0.374 Cu
```

Results
* total DFT energy (no corrections): -4.551 eV per atom
* formation energy from the elements: -0.22 eV per atom
* space-group type: Im-3 (204)